(1)
The following is a DFT calculation (PBE) of a geometry-optimized Hf2CdIn structure.

Cell lengths 4.8200, 4.8200, 15.1396 Å; angles 90.00, 90.00, 120.00 degrees
Space group R3m (No. 160, hexagonal axes)
Unique sites:
Hf 0.0000 0.0000 0.0000
Hf 0.0000 0.0000 0.2109
Cd 0.0000 0.0000 0.4198
In 0.0000 0.0000 0.6111

E above lowest polymorph = 0.491 eV/atom
Mass density = 9554 kg/m³
Energy of formation = 0.42 eV per atom
Total DFT energy (no corrections) = -21.90 eV per formula unit


(2)
The following is a DFT calculation (PBE) of a geometry-optimized HfCdIn structure.

Cell lengths 3.0992, 5.2603, 8.2497 Å; angles 90.00, 99.83, 90.00 degrees
Space group P2_1/m (No. 11)
Unique sites:
Hf 0.0729 0.2500 0.1072
Cd 0.2799 0.7500 0.5609
In 0.3946 0.2500 0.7810

Mass density = 10168 kg/m³
Energy of formation = -0.03 eV per atom
Total DFT energy (no corrections) = -13.70 eV per formula unit


(3)
The following is a DFT calculation (PBE) of a geometry-optimized Hf6CdIn structure.

Cell lengths 4.4229, 4.4229, 8.8342 Å; angles 90.00, 90.00, 90.00 degrees
Space group P4/mmm (No. 123)
Unique sites:
Hf 0.0000 0.0000 0.0000
Hf 0.0000 0.0000 0.5000
Hf 0.0000 0.5000 0.2496
Cd 0.5000 0.5000 0.0000
In 0.5000 0.5000 0.5000

Mass density = 12474 kg/m³
Energy of formation = -0.08 eV per atom
Total DFT energy (no corrections) = -63.98 eV per formula unit


(4)
The following is a DFT calculation (PBE) of a geometry-optimized Hf3Cd2In2 structure.

Cell lengths 4.6513, 20.8661, 3.1058 Å; angles 90.00, 90.00, 90.00 degrees
Space group Cmmm (No. 65)
Unique sites:
Hf 0.0000 0.0000 0.0000
Hf 0.0000 0.1476 0.0000
Cd 0.0000 0.2859 0.5000
In 0.0000 0.4264 0.5000

Mass density = 10907 kg/m³
Energy of formation = -0.06 eV per atom
Total DFT energy (no corrections) = -37.61 eV per formula unit


(5)
The following is a DFT calculation (PBE) of a geometry-optimized Hf9CdIn2 structure.

Cell lengths 4.4254, 4.4254, 13.2601 Å; angles 90.00, 90.00, 90.00 degrees
Space group P4/mmm (No. 123)
Unique sites:
Hf 0.0000 0.0000 0.0000
Hf 0.0000 0.0000 0.3330
Hf 0.0000 0.5000 0.1663
Hf 0.0000 0.5000 0.5000
Cd 0.5000 0.5000 0.0000
In 0.5000 0.5000 0.3325

Mass density = 12459 kg/m³
Energy of formation = -0.10 eV per atom
Total DFT energy (no corrections) = -97.15 eV per formula unit


(6)
The following is a DFT calculation (PBE) of a geometry-optimized Hf12CdIn3 structure.

Cell lengths 4.4267, 4.4267, 17.6921 Å; angles 90.00, 90.00, 90.00 degrees
Space group P4/mmm (No. 123)
Unique sites:
Hf 0.0000 0.0000 0.0000
Hf 0.0000 0.0000 0.2495
Hf 0.0000 0.0000 0.5000
Hf 0.0000 0.5000 0.1246
Hf 0.0000 0.5000 0.3749
Cd 0.5000 0.5000 0.0000
In 0.5000 0.5000 0.2493
In 0.5000 0.5000 0.5000

Mass density = 12447 kg/m³
Energy of formation = -0.11 eV per atom
Total DFT energy (no corrections) = -130.29 eV per formula unit


(7)
The following is a DFT calculation (PBE) of a geometry-optimized HfCdIn2 structure.

Cell lengths 7.9242, 7.9242, 6.1649 Å; angles 90.00, 90.00, 90.00 degrees
Space group I-42d (No. 122)
Unique sites:
Hf 0.0000 0.0000 0.0000
Cd 0.0000 0.0000 0.5000
In 0.2354 0.7500 0.6250

Mass density = 8931 kg/m³
Energy of formation = 0.25 eV per atom
Total DFT energy (no corrections) = -15.35 eV per formula unit


(8)
The following is a DFT calculation (PBE) of a geometry-optimized HfCd2In2 structure.

Cell lengths 8.2067, 8.2067, 3.4383 Å; angles 90.00, 90.00, 90.00 degrees
Space group P4/mbm (No. 127)
Unique sites:
Hf 0.0000 0.0000 0.0000
Cd 0.1247 0.3753 0.0000
In 0.1782 0.6782 0.5000

E above lowest polymorph = 0.000 eV/atom
Mass density = 9078 kg/m³
Energy of formation = 0.19 eV per atom
Total DFT energy (no corrections) = -16.30 eV per formula unit


(9)
The following is a DFT calculation (PBE) of a geometry-optimized Hf4CdIn structure.

Cell lengths 3.1715, 16.1526, 10.4996 Å; angles 90.00, 90.00, 90.00 degrees
Space group Cmc2_1 (No. 36)
Unique sites:
Hf 0.0000 0.0058 0.0000
Hf 0.0000 0.1078 0.7407
Hf 0.0000 0.3434 0.9992
Hf 0.0000 0.4479 0.7542
Cd 0.0000 0.2229 0.2506
In 0.0000 0.3264 0.5018

E above lowest polymorph = 0.072 eV/atom
Mass density = 11623 kg/m³
Energy of formation = -0.05 eV per atom
Total DFT energy (no corrections) = -43.79 eV per formula unit


(10)
The following is a DFT calculation (PBE) of a geometry-optimized HfCdIn2 structure.

Cell lengths 4.4971, 4.4971, 4.3207 Å; angles 90.00, 90.00, 90.00 degrees
Space group P4/mmm (No. 123)
Unique sites:
Hf 0.0000 0.0000 0.0000
Cd 0.5000 0.5000 0.0000
In 0.0000 0.5000 0.5000

Mass density = 9892 kg/m³
Energy of formation = -0.08 eV per atom
Total DFT energy (no corrections) = -16.67 eV per formula unit


(11)
The following is a DFT calculation (PBE) of a geometry-optimized Hf2CdIn structure.

Cell lengths 4.3962, 4.3962, 4.4332 Å; angles 90.00, 90.00, 90.00 degrees
Space group P4/mmm (No. 123)
Unique sites:
Hf 0.0000 0.5000 0.0000
Cd 0.0000 0.0000 0.5000
In 0.5000 0.5000 0.5000

E above lowest polymorph = 0.000 eV/atom
Mass density = 11322 kg/m³
Energy of formation = -0.08 eV per atom
Total DFT energy (no corrections) = -23.86 eV per formula unit


(12)
The following is a DFT calculation (PBE) of a geometry-optimized Hf4CdIn5 structure.

Cell lengths 3.1414, 3.1414, 22.5438 Å; angles 90.00, 90.00, 90.00 degrees
Space group P4/mmm (No. 123)
Unique sites:
Hf 0.0000 0.0000 0.0987
Hf 0.0000 0.0000 0.2927
Cd 0.0000 0.0000 0.5000
In 0.5000 0.5000 0.0000
In 0.5000 0.5000 0.1952
In 0.5000 0.5000 0.3913

Mass density = 10453 kg/m³
Energy of formation = -0.08 eV per atom
Total DFT energy (no corrections) = -55.21 eV per formula unit